21
Lattice="13.4338 0.0000 0.0000 -6.7169 11.6340 0.0000 0.0000 0.0000 3.5093" Properties=species:S:1:pos:R:3 comment="Cd7Hg12Pb2, relaxed, DFT PBE" e_form_ev_per_atom=0.025 magnetic_moment_mub_per_fu=0.00 pbc="T T T"
Cd 0.0000 0.0000 0.0000
Cd -1.2381 5.2519 2.9423
Cd -1.5496 10.0803 2.9423
Cd 3.9292 3.6982 0.5670
Cd 2.7877 7.9358 2.9423
Cd 8.2665 1.5537 0.5670
Cd 7.9550 6.3821 0.5670
Hg -3.2152 7.5141 2.2889
Hg -0.1285 2.8804 0.9819
Hg -4.1582 10.3051 0.9819
Hg 2.4302 1.5515 2.5273
Hg 1.8171 5.0925 2.2889
Hg 5.3188 0.9726 1.2203
Hg 1.3981 10.6614 2.2889
Hg 4.8998 6.5415 1.2203
Hg 4.2867 10.0826 0.9819
Hg 10.8751 1.3289 2.5273
Hg 6.8454 8.7537 2.5273
Hg 9.9321 4.1199 1.2203
Pb 0.0000 7.7560 1.1896
Pb 6.7169 3.8780 2.3197